(1)
# Pr6InBi

A relaxed structure of Pr6InBi (PBE-GGA, the Alexandria database).

Properties
The calculation puts the total energy at -4.78 eV/atom. The calculation puts the formation energy at -0.367 eV per atom. For the density of states at the Fermi level, the calculation gives 1.061 states/eV per atom.

Lattice parameters (Å, degrees): 5.043 5.043 10.018 90.00 90.00 90.00
Sites, in units of the cell vectors:
Pr  0.500  0.000  0.250
Pr  0.500  0.500  0.000
Pr  0.000  0.500  0.750
Pr  0.500  0.500  0.500
Pr  0.000  0.500  0.250
Pr  0.500  0.000  0.750
Bi  0.000  0.000  0.000
In  0.000  0.000  0.500

=====

(2)
# Pr7In2Bi2

A relaxed structure of Pr7In2Bi2 (PBE-GGA, the Alexandria database).

Properties
The calculation puts the total energy at -4.45 eV/atom. The calculation puts the formation energy at -0.203 eV per atom. For the density of states at the Fermi level, the calculation gives 1.378 states/eV per atom.

Lattice parameters (Å, degrees): 7.555 7.248 7.555 90.00 101.07 90.00
Sites, in units of the cell vectors:
Bi  0.189  0.500  0.189
Bi  0.811  0.500  0.811
Pr  0.000  0.277  0.500
Pr  0.500  0.277  0.000
Pr  0.500  0.256  0.500
Pr  0.000  0.000  0.000
Pr  0.500  0.744  0.500
Pr  0.000  0.723  0.500
Pr  0.500  0.723  0.000
In  0.726  0.000  0.274
In  0.274  0.000  0.726

=====

(3)
# PrInBi

A relaxed structure of PrInBi (PBE-GGA, the Alexandria database).

Properties
The calculation puts the total energy at -4.19 eV/atom. The calculation puts the formation energy at -0.385 eV per atom. For the density of states at the Fermi level, the calculation gives 1.217 states/eV per atom.

Lattice parameters (Å, degrees): 4.035 4.035 6.248 108.84 108.84 90.00
Sites, in units of the cell vectors:
In  0.965  0.965  0.930
Bi  0.601  0.601  0.202
Pr  0.284  0.284  0.568

=====

(4)
# PrInBi2

A relaxed structure of PrInBi2 (PBE-GGA, the Alexandria database).

Properties
The calculation puts the total energy at -4.28 eV/atom. The calculation puts the formation energy at -0.459 eV per atom. For the density of states at the Fermi level, the calculation gives 0.489 states/eV per atom.

Lattice parameters (Å, degrees): 4.577 5.132 5.132 90.00 90.00 90.00
Sites, in units of the cell vectors:
In  0.500  0.000  0.000
Bi  0.000  0.000  0.500
Bi  0.000  0.500  0.000
Pr  0.500  0.500  0.500

=====

(5)
# PrInBi2

A relaxed structure of PrInBi2 (PBE-GGA, the Alexandria database).

Properties
The calculation puts the total energy at -4.08 eV/atom. The calculation puts the formation energy at -0.256 eV per atom. For the density of states at the Fermi level, the calculation gives 0.735 states/eV per atom.

Lattice parameters (Å, degrees): 5.113 5.113 6.979 68.51 68.51 60.00
Sites, in units of the cell vectors:
Bi  0.254  0.254  0.238
Bi  0.086  0.086  0.743
In  0.492  0.492  0.523
Pr  0.668  0.668  0.995

=====

(6)
# Pr2InBi

A relaxed structure of Pr2InBi (PBE-GGA, the Alexandria database).

Properties
The calculation puts the total energy at -4.67 eV/atom. The calculation puts the formation energy at -0.625 eV per atom. For the density of states at the Fermi level, the calculation gives 0.640 states/eV per atom.

Lattice parameters (Å, degrees): 4.171 4.171 7.074 90.00 90.00 90.00
Sites, in units of the cell vectors:
Pr  0.000  0.000  0.753
Pr  0.000  0.000  0.247
In  0.500  0.500  0.500
Bi  0.500  0.500  0.000

=====

(7)
# Pr4InBi5

A relaxed structure of Pr4InBi5 (PBE-GGA, the Alexandria database).

Properties
The calculation puts the total energy at -4.81 eV/atom. The calculation puts the formation energy at -0.680 eV per atom. For the density of states at the Fermi level, the calculation gives 0.385 states/eV per atom.

Lattice parameters (Å, degrees): 4.539 8.883 8.883 81.60 75.20 75.20
Sites, in units of the cell vectors:
Bi  0.914  0.660  0.012
Bi  0.586  0.988  0.340
Bi  0.586  0.340  0.988
Bi  0.914  0.012  0.660
Bi  0.750  0.500  0.500
In  0.250  0.000  0.000
Pr  0.250  0.291  0.709
Pr  0.996  0.254  0.254
Pr  0.504  0.746  0.746
Pr  0.250  0.709  0.291

=====

(8)
# Pr2InBi4

A relaxed structure of Pr2InBi4 (PBE-GGA, the Alexandria database).

Properties
The calculation puts the total energy at -4.45 eV/atom. The calculation puts the formation energy at -0.476 eV per atom. For the density of states at the Fermi level, the calculation gives 0.639 states/eV per atom.

Lattice parameters (Å, degrees): 7.099 7.099 6.830 121.35 121.35 90.15
Sites, in units of the cell vectors:
Bi  0.786  0.286  0.071
Bi  0.786  0.786  0.072
Bi  0.286  0.286  0.071
Bi  0.286  0.786  0.071
Pr  0.286  0.786  0.571
Pr  0.786  0.286  0.571
In  0.786  0.786  0.571

=====

(9)
# PrInBi2

A relaxed structure of PrInBi2 (PBE-GGA, the Alexandria database).

Properties
The calculation puts the total energy at -4.26 eV/atom. The calculation puts the formation energy at -0.445 eV per atom. For the density of states at the Fermi level, the calculation gives 0.529 states/eV per atom.

Lattice parameters (Å, degrees): 4.641 4.641 11.539 90.00 90.00 90.00
Sites, in units of the cell vectors:
In  0.000  0.000  0.000
In  0.500  0.500  0.000
Pr  0.000  0.500  0.272
Pr  0.500  0.000  0.728
Bi  0.000  0.500  0.769
Bi  0.500  0.000  0.231
Bi  0.000  0.000  0.500
Bi  0.500  0.500  0.500

=====

(10)
# Pr2InBi5

A relaxed structure of Pr2InBi5 (PBE-GGA, the Alexandria database).

Properties
The calculation puts the total energy at -4.41 eV/atom. The calculation puts the formation energy at -0.450 eV per atom. For the density of states at the Fermi level, the calculation gives 0.588 states/eV per atom.

Lattice parameters (Å, degrees): 5.034 9.376 10.460 90.00 90.00 90.00
Sites, in units of the cell vectors:
Bi  0.000  0.500  0.000
Bi  0.000  0.750  0.250
Bi  0.000  0.250  0.750
Bi  0.500  0.735  0.500
Bi  0.000  0.000  0.500
Bi  0.500  0.235  0.000
Bi  0.500  0.265  0.500
Bi  0.500  0.765  0.000
Bi  0.000  0.250  0.250
Bi  0.000  0.750  0.750
Pr  0.500  0.500  0.239
Pr  0.500  0.500  0.761
Pr  0.500  0.000  0.261
Pr  0.500  0.000  0.739
In  0.000  0.000  0.000
In  0.000  0.500  0.500

=====

(11)
# Pr12In3Bi

A relaxed structure of Pr12In3Bi (PBE-GGA, the Alexandria database).

Properties
The calculation puts the total energy at -4.66 eV/atom. The calculation puts the formation energy at -0.322 eV per atom. For the density of states at the Fermi level, the calculation gives 1.332 states/eV per atom.

Lattice parameters (Å, degrees): 5.035 5.035 20.062 90.00 90.00 90.00
Sites, in units of the cell vectors:
In  0.000  0.000  0.251
In  0.000  0.000  0.500
In  0.000  0.000  0.749
Pr  0.500  0.000  0.125
Pr  0.500  0.000  0.374
Pr  0.000  0.500  0.875
Pr  0.500  0.500  0.751
Pr  0.000  0.500  0.374
Pr  0.500  0.500  0.000
Pr  0.500  0.500  0.249
Pr  0.000  0.500  0.125
Pr  0.500  0.000  0.626
Pr  0.500  0.000  0.875
Pr  0.000  0.500  0.626
Pr  0.500  0.500  0.500
Bi  0.000  0.000  0.000

=====

(12)
# PrInBi2

A relaxed structure of PrInBi2 (PBE-GGA, the Alexandria database).

Properties
The calculation puts the total energy at -4.28 eV/atom. The calculation puts the formation energy at -0.457 eV per atom. For the density of states at the Fermi level, the calculation gives 0.750 states/eV per atom.

Lattice parameters (Å, degrees): 4.326 4.326 6.638 90.00 90.00 90.00
Sites, in units of the cell vectors:
Pr  0.500  0.500  0.000
Bi  0.000  0.000  0.244
Bi  0.000  0.000  0.756
In  0.500  0.500  0.500

=====

Number 1: mass density 7.6 g/cm³. Number 2: mass density 6.7 g/cm³. Number 3: mass density 8.5 g/cm³. Number 4: mass density 9.3 g/cm³. Number 5: mass density 7.8 g/cm³. Number 6: mass density 8.2 g/cm³. Number 7: mass density 8.6 g/cm³. Number 8: mass density 8.8 g/cm³. Number 9: mass density 9.0 g/cm³. Number 10: mass density 9.7 g/cm³. Number 11: mass density 7.3 g/cm³. Number 12: mass density 9.0 g/cm³.